Crystalline CdHPd2Rh at its relaxed geometry. Source: Alexandria, functional GGA-PBE.

Magnetization (μB/f.u.): 0.3
Crystal system: tetragonal
Raw total energy (eV per cell): -21.84
Offset from the most stable computed form (meV per atom): 183
Space group: P4/mmm

Lattice parameters (Å, degrees): 3.9182 3.9182 4.3936 90.00 90.00 90.00
With the nearest neighbours (Å) after each atom.
Fractional positions:
Cd 0.0000 0.0000 0.0000  2 H 2.20
H 0.0000 0.0000 0.5000  4 Pd 1.96
Pd 0.0000 0.5000 0.5000  2 H 1.96
Pd 0.5000 0.0000 0.5000  2 H 1.96
Rh 0.5000 0.5000 0.0000  4 Cd 2.77, 8 Pd 2.94